PBE ZnTeCl2, optimized geometry; polymorph energy (0 for the lowest one) = 0.768 eV/atom; DOS(E_F) = 5.5 states/eV/f.u.; uncorrected formation energy = 0.145 eV/atom; spin magnetization = 0.00 μB per formula unit
1.0
-1.047 4.585 1.667
-1.680 0.640 4.655
2.922 2.133 3.436
Cl Te Zn
2 1 1
Direct
0.000 0.000 0.000
0.250 0.250 0.250
0.500 0.500 0.500
0.750 0.750 0.750

PBE K3SbPb2Se6, optimized geometry; DOS(E_F) = 5.3 states/eV/f.u.; uncorrected formation energy = -0.690 eV/atom; spin magnetization = 0.00 μB per formula unit
1.0
-4.795 -4.879 3.168
7.131 -2.055 -1.325
1.233 4.883 6.344
K Se Pb Sb
3 6 2 1
Direct
0.500 0.500 0.500
0.827 0.173 0.500
0.173 0.827 0.500
0.224 0.224 0.792
0.930 0.633 0.791
0.070 0.367 0.209
0.367 0.070 0.209
0.776 0.776 0.208
0.633 0.930 0.791
0.666 0.334 0.000
0.334 0.666 0.000
0.000 0.000 0.000

PBE Tb5Pr2Cd, optimized geometry; DOS(E_F) = 8.0 states/eV/f.u.; energy relative to the elements = -0.0283 eV/atom; spin magnetization = 0.00 μB per formula unit
1.0
7.032 0.000 -0.001
0.000 7.032 -0.001
-3.516 -3.516 5.076
Pr Tb Cd
2 5 1
Direct
0.721 0.223 0.444
0.223 0.721 0.444
0.722 0.722 0.444
0.722 0.222 0.944
0.223 0.722 0.944
0.724 0.724 0.946
0.221 0.221 0.942
0.222 0.221 0.444

PBE CrReSeBr2, optimized geometry; polymorph energy (0 for the lowest one) = 0.000 eV/atom; DOS(E_F) = 6.5 states/eV/f.u.; uncorrected formation energy = 0.709 eV/atom; spin magnetization = 4.93 μB per formula unit
1.0
5.281 0.000 0.000
0.000 5.281 0.000
0.000 0.000 4.702
Br Re Cr Se
2 1 1 1
Direct
0.000 0.500 0.000
0.500 0.000 0.000
0.000 0.000 0.000
0.500 0.500 0.500
0.000 0.000 0.500

PBE LaCr2Se, optimized geometry; DOS(E_F) = 2.3 states/eV/f.u.; uncorrected formation energy = 0.189 eV/atom; spin magnetization = 8.32 μB per formula unit
1.0
4.194 -0.010 -0.024
-2.071 5.725 -0.070
0.052 1.629 3.917
Se Cr La
1 2 1
Direct
0.500 0.500 0.000
0.000 0.000 0.000
0.500 0.000 0.500
0.000 0.500 0.500

PBE Fe2Ni3Pt8, optimized geometry; DOS(E_F) = 15.4 states/eV/f.u.; energy relative to the elements = 0.0468 eV/atom; spin magnetization = 10.52 μB per formula unit
1.0
3.610 0.000 0.528
0.000 8.083 0.000
-0.998 -4.042 6.805
Pt Ni Fe
8 3 2
Direct
0.500 0.113 0.732
0.500 0.887 0.268
0.500 0.619 0.732
0.000 0.396 0.793
0.000 0.135 0.270
0.000 0.604 0.207
0.000 0.865 0.730
0.500 0.381 0.268
0.000 0.769 0.000
0.000 0.231 0.000
0.500 0.000 0.000
0.500 0.738 0.476
0.500 0.262 0.524

PBE Ti3VCo, optimized geometry; polymorph energy (0 for the lowest one) = 1.006 eV/atom; DOS(E_F) = 9.4 states/eV/f.u.; energy relative to the elements = 0.9327 eV/atom; spin magnetization = 0.48 μB per formula unit
1.0
-3.611 2.621 0.161
-2.613 -3.613 0.228
0.264 0.090 4.456
Ti V Co
3 1 1
Direct
0.000 0.000 0.500
0.000 0.500 0.000
0.500 0.000 0.000
0.000 0.000 0.000
0.500 0.500 0.500

PBE Li4CuMo, optimized geometry; DOS(E_F) = 1.2 states/eV/f.u.; energy relative to the elements = 0.5183 eV/atom; spin magnetization = 2.57 μB per formula unit
1.0
-2.722 -2.324 3.371
-0.444 1.878 4.523
-4.285 1.925 1.453
Li Mo Cu
4 1 1
Direct
0.375 0.876 0.375
0.876 0.375 0.375
0.375 0.375 0.876
0.375 0.375 0.375
0.750 0.750 0.750
0.000 0.000 0.000

PBE SrSeBr2, optimized geometry; polymorph energy (0 for the lowest one) = 0.340 eV/atom; DOS(E_F) = 0.0 states/eV/f.u.; uncorrected formation energy = -0.978 eV/atom; spin magnetization = 0.00 μB per formula unit
1.0
2.729 1.157 7.271
6.698 1.152 3.933
3.698 5.358 4.390
Sr Br Se
1 2 1
Direct
0.500 0.500 0.500
0.120 0.120 0.120
0.880 0.880 0.880
0.000 0.000 0.000

PBE MgCdSi2, optimized geometry; polymorph energy (0 for the lowest one) = 0.205 eV/atom; DOS(E_F) = 2.3 states/eV/f.u.; uncorrected formation energy = 0.419 eV/atom; spin magnetization = 0.00 μB per formula unit
1.0
7.663 0.000 0.000
0.000 7.663 0.000
3.831 3.831 2.722
Si Mg Cd
4 2 2
Direct
0.639 0.125 0.250
0.111 0.625 0.250
0.875 0.889 0.750
0.375 0.361 0.750
0.500 0.500 0.000
0.250 0.750 0.500
0.750 0.250 0.500
0.000 0.000 0.000

PBE TlPO2F, optimized geometry; DOS(E_F) = 0.9 states/eV/f.u.; uncorrected formation energy = -1.029 eV/atom; spin magnetization = 0.00 μB per formula unit
1.0
3.608 0.000 0.000
0.000 3.608 0.000
0.000 0.000 5.273
Tl O F P
1 2 1 1
Direct
0.500 0.500 0.500
0.500 0.000 0.000
0.000 0.500 0.000
0.000 0.000 0.500
0.000 0.000 0.000

PBE Ca2CoSi, optimized geometry; DOS(E_F) = 3.1 states/eV/f.u.; uncorrected formation energy = -0.336 eV/atom; spin magnetization = 0.00 μB per formula unit
1.0
-1.672 1.093 3.418
-3.681 -1.171 0.869
1.048 -6.280 4.754
Ca Si Co
2 1 1
Direct
0.210 0.210 0.364
0.040 0.040 0.886
0.792 0.792 0.625
0.458 0.458 0.625

- The highest DOS(E_F) belongs to which entry?
  Fe2Ni3Pt8

- Which value of spin magnetization does entry 11 give?
  0.00 μB per formula unit